Entry from Alexandria: crystalline Tb5Pm4Tm4 at its relaxed geometry (GGA-PBE).

Cell and atoms, written as POSCAR:
```
Tb5Pm4Tm4
1.0
-6.432 6.432 2.516
6.432 -6.432 2.516
6.432 6.432 -2.516
Tb Pm Tm
5 4 4
Direct
0.000 0.000 0.000
0.310 0.460 0.770
0.460 0.690 0.151
0.540 0.310 0.849
0.690 0.540 0.230
0.078 0.618 0.695
0.382 0.078 0.460
0.618 0.922 0.540
0.922 0.382 0.305
0.154 0.230 0.384
0.230 0.846 0.077
0.770 0.154 0.923
0.846 0.770 0.616
```

Its calculated formation energy is 2 kJ per mole of atoms. Its total moment is 0.0 μB/f.u.

=====

Entry from Alexandria: crystalline Pm2Sm7Y3 at its relaxed geometry (GGA-PBE).

Cell and atoms, written as POSCAR:
```
Pm2Sm7Y3
1.0
3.705 0.000 0.000
0.000 5.638 0.000
-1.859 0.000 20.617
Pm Sm Y
2 7 3
Direct
0.139 0.000 0.277
0.861 0.000 0.723
0.086 0.500 0.171
0.215 0.000 0.431
0.433 0.000 0.867
0.500 0.500 0.000
0.567 0.000 0.133
0.785 0.000 0.569
0.914 0.500 0.829
0.000 0.000 0.000
0.328 0.500 0.658
0.672 0.500 0.342
```

Its calculated formation energy is 22 kJ per mole of atoms. Its total moment is 0.0 μB/f.u. The calculation puts the excess energy over the best structure of this formula in the dataset at 145 meV per atom.

=====

Entry from Alexandria: crystalline MgTa2Ag at its relaxed geometry (GGA-PBE).

Cell and atoms, written as POSCAR:
```
MgTa2Ag
1.0
-1.511 2.550 4.818
1.511 -2.550 4.818
1.511 2.550 -4.818
Mg Ta Ag
1 2 1
Direct
0.000 0.000 0.000
0.488 0.488 0.000
0.727 0.227 0.500
0.237 0.737 0.500
```

Its calculated formation energy is 35 kJ per mole of atoms. Its total moment is 0.0 μB/f.u.

=====

Entry from Alexandria: crystalline NdEr3TmSc at its relaxed geometry (GGA-PBE).

Cell and atoms, written as POSCAR:
```
NdEr3TmSc
1.0
2.466 -7.398 0.000
2.466 7.398 0.000
0.000 0.000 9.911
Nd Er Tm Sc
2 6 2 2
Direct
0.003 0.997 0.750
0.997 0.003 0.250
0.168 0.832 0.000
0.168 0.832 0.500
0.330 0.670 0.750
0.670 0.330 0.250
0.832 0.168 0.000
0.832 0.168 0.500
0.500 0.500 0.000
0.500 0.500 0.500
0.331 0.669 0.250
0.669 0.331 0.750
```

Its calculated formation energy is 4 kJ per mole of atoms. Its total moment is 0.0 μB/f.u.

=====

Summary of DOS(E_F) in states/eV/cell
18.09; 19.34; 3.10; 17.55
(order as listed above)